Record 1
{
  "formula": "S5OF",
  "functional": "GGA-PBE",
  "state": "relaxed",
  "raw_formation_energy_ev_per_atom": 0.252,
  "spacegroup": "No. 15",
  "lattice_angstrom": [[-2.796, -3.441, -0.551], [5.303, -6.596, 5.212], [-8.398, 5.179, 1.200]],
  "species": ["S", "S", "S", "O", "S", "S", "S", "S", "S", "F", "S", "F", "O", "S"],
  "frac_coords": [[0.011, 0.207, 0.381], [0.372, 0.180, 0.857], [0.628, 0.820, 0.143], [0.250, 0.647, 0.853], [0.489, 0.119, 0.293], [0.872, 0.357, 0.680], [0.750, 0.660, 0.840], [0.128, 0.643, 0.320], [0.511, 0.881, 0.707], [0.000, 0.000, 0.000], [0.989, 0.793, 0.619], [0.500, 0.500, 0.500], [0.750, 0.353, 0.147], [0.250, 0.340, 0.160]]
}

---

Record 2
{
  "formula": "CdBP",
  "functional": "GGA-PBE",
  "state": "relaxed",
  "relative_energy_mev_per_atom": 17,
  "spacegroup": "No. 8",
  "lattice_angstrom": [[-7.198, -7.321, -3.023], [1.952, -2.346, 1.034], [-1.727, 0.866, 5.229]],
  "species": ["Cd", "P", "Cd", "P", "P", "Cd", "Cd", "P", "B", "B", "B", "B"],
  "frac_coords": [[0.807, 0.500, 0.336], [0.304, 0.000, 0.329], [0.807, 0.000, 0.836], [0.053, 0.500, 0.417], [0.053, 0.000, 0.917], [0.577, 0.500, 0.591], [0.577, 0.000, 0.091], [0.304, 0.500, 0.829], [0.357, 0.500, 0.512], [0.110, 0.500, 0.768], [0.357, 0.000, 0.012], [0.110, 0.000, 0.268]]
}

---

Record 3
{
  "formula": "NaLiCa2Pd",
  "functional": "GGA-PBE",
  "state": "relaxed",
  "relative_energy_mev_per_atom": 0,
  "spacegroup": "No. 123",
  "lattice_angstrom": [[-5.155, 2.266, 0.422], [-1.561, -2.672, -4.723], [-1.505, -3.929, 2.720]],
  "species": ["Na", "Li", "Pd", "Ca", "Ca"],
  "frac_coords": [[0.500, 0.500, 0.500], [0.000, 0.000, 0.500], [0.000, 0.000, 0.000], [0.000, 0.500, 0.000], [0.500, 0.000, 0.000]]
}

---

Record 4
{
  "formula": "TiVMo3",
  "functional": "GGA-PBE",
  "state": "relaxed",
  "relative_energy_mev_per_atom": 0,
  "spacegroup": "No. 63",
  "lattice_angstrom": [[4.269, 0.000, -0.964], [-0.036, 4.461, -0.159], [-0.408, 0.292, 8.122]],
  "species": ["Mo", "Mo", "Mo", "V", "Mo", "Mo", "Ti", "Ti", "Mo", "V"],
  "frac_coords": [[0.053, 0.250, 0.106], [0.846, 0.250, 0.693], [0.154, 0.750, 0.307], [0.747, 0.750, 0.494], [0.349, 0.750, 0.697], [0.651, 0.250, 0.303], [0.552, 0.750, 0.104], [0.448, 0.250, 0.896], [0.947, 0.750, 0.894], [0.253, 0.250, 0.506]]
}

---

Record 5
{
  "formula": "PrAlH2O4",
  "functional": "GGA-PBE",
  "state": "relaxed",
  "spacegroup": "No. 23",
  "total_energy_ev_per_atom": -6.62,
  "lattice_angstrom": [[4.476, 0.000, 0.000], [2.238, 4.242, 0.049], [2.238, 0.397, 4.224]],
  "species": ["O", "Al", "H", "O", "O", "Pr", "O", "H"],
  "frac_coords": [[0.599, 0.545, 0.804], [0.500, 0.500, 0.500], [0.831, 0.669, 0.669], [0.052, 0.804, 0.545], [0.948, 0.455, 0.196], [0.000, 0.000, 0.000], [0.401, 0.196, 0.455], [0.169, 0.331, 0.331]]
}

---

Record 6
{
  "formula": "PuTa2Ru3",
  "functional": "GGA-PBE",
  "state": "relaxed",
  "spacegroup": "No. 123",
  "total_energy_ev_per_atom": -11.29,
  "lattice_angstrom": [[3.135, 0.000, 0.000], [0.000, 3.135, 0.000], [0.000, 0.000, 10.588]],
  "species": ["Ta", "Ta", "Pu", "Ru", "Ru", "Ru"],
  "frac_coords": [[0.500, 0.500, 0.841], [0.500, 0.500, 0.159], [0.500, 0.500, 0.500], [0.000, 0.000, 0.295], [0.000, 0.000, 0.705], [0.000, 0.000, 0.000]]
}

---

Record 7
{
  "formula": "TbGdRuPt",
  "functional": "GGA-PBE",
  "state": "relaxed",
  "spacegroup": "No. 216",
  "total_energy_ev_per_atom": -9.24,
  "lattice_angstrom": [[-0.053, -3.046, 3.842], [-0.300, -4.841, -0.714], [3.877, -2.858, 0.916]],
  "species": ["Tb", "Ru", "Pt", "Gd"],
  "frac_coords": [[0.000, 0.000, 0.000], [0.750, 0.750, 0.750], [0.250, 0.250, 0.250], [0.500, 0.500, 0.500]]
}

---

Record 8
{
  "formula": "Sc2TlMo",
  "functional": "GGA-PBE",
  "state": "relaxed",
  "relative_energy_mev_per_atom": 655,
  "spacegroup": "No. 71",
  "lattice_angstrom": [[5.088, -2.057, -3.286], [-1.154, 5.365, 3.286], [-3.605, 0.295, 5.275]],
  "species": ["Sc", "Sc", "Mo", "Tl"],
  "frac_coords": [[0.000, 0.764, 0.764], [0.000, 0.236, 0.236], [0.000, 0.000, 0.000], [0.000, 0.500, 0.500]]
}